First-principles (PBE) data for a relaxed Ti12Bi6B crystal, as listed in Alexandria via LeMat-Bulk.

Geometry as CIF:
```
data_Ti12Bi6B
_chemical_formula_sum 'Ti36 Bi18 B3'
_symmetry_space_group_name_H-M 'R -3'
_symmetry_Int_Tables_number 148
_symmetry_space_group_name_Hall '-R 3'
_cell_length_a 11.6871
_cell_length_b 11.6871
_cell_length_c 10.2275
_cell_angle_alpha 90.00
_cell_angle_beta 90.00
_cell_angle_gamma 120.00
loop_
_atom_site_label
_atom_site_type_symbol
_atom_site_fract_x
_atom_site_fract_y
_atom_site_fract_z
Ti1 Ti 0.0297 0.8788 0.3762
Ti2 Ti 0.0714 0.9039 0.8710
Bi1 Bi 0.0275 0.6267 0.2988
B1 B 0.0000 0.0000 0.0000
```

Calculated values
**Formation enthalpy at 0 K**: 0.00 eV per atom
**V**: 21.225 Å³ per atom
**M_tot**: 5.0 μB/f.u.

=====

First-principles (PBE) data for a relaxed Ti4Bi2B crystal, as listed in Alexandria via LeMat-Bulk.

Geometry as CIF:
```
data_Ti4Bi2B
_chemical_formula_sum 'Ti16 Bi8 B4'
_symmetry_space_group_name_H-M 'I 4/m c m'
_symmetry_Int_Tables_number 140
_symmetry_space_group_name_Hall '-I 4 2c'
_cell_length_a 10.378
_cell_length_b 10.378
_cell_length_c 4.849
_cell_angle_alpha 90.00
_cell_angle_beta 90.00
_cell_angle_gamma 90.00
loop_
_atom_site_label
_atom_site_type_symbol
_atom_site_fract_x
_atom_site_fract_y
_atom_site_fract_z
Ti1 Ti 0.073 0.183 0.000
Bi1 Bi 0.141 0.359 0.500
B1 B 0.000 0.000 0.250
```

Calculated values
**Formation enthalpy at 0 K**: -0.36 eV per atom
**V**: 18.649 Å³ per atom
**M_tot**: 0.0 μB/f.u.

=====

First-principles (PBE) data for a relaxed Ti10Bi6B crystal, as listed in Alexandria via LeMat-Bulk.

Geometry as CIF:
```
data_Ti10Bi6B
_chemical_formula_sum 'Ti10 Bi6 B1'
_symmetry_space_group_name_H-M 'P -3 1 m'
_symmetry_Int_Tables_number 162
_symmetry_space_group_name_Hall '-P 3 2'
_cell_length_a 8.2862
_cell_length_b 8.2862
_cell_length_c 5.5793
_cell_angle_alpha 90.00
_cell_angle_beta 90.00
_cell_angle_gamma 120.00
loop_
_atom_site_label
_atom_site_type_symbol
_atom_site_fract_x
_atom_site_fract_y
_atom_site_fract_z
Ti1 Ti 0.0000 0.2203 0.2369
Ti2 Ti 0.3333 0.6667 0.0000
Ti3 Ti 0.3333 0.6667 0.5000
Bi1 Bi 0.0000 0.3932 0.7461
B1 B 0.0000 0.0000 0.0000
```

Calculated values
**Formation enthalpy at 0 K**: -0.21 eV per atom
**V**: 19.515 Å³ per atom
**M_tot**: 0.0 μB/f.u.

=====

First-principles (PBE) data for a relaxed Zr2TiBiB crystal, as listed in Alexandria via LeMat-Bulk.

Geometry as CIF:
```
data_Zr2TiBiB
_chemical_formula_sum 'Zr2 Ti1 Bi1 B1'
_symmetry_space_group_name_H-M 'P 4/m m m'
_symmetry_Int_Tables_number 123
_symmetry_space_group_name_Hall '-P 4 2'
_cell_length_a 4.719
_cell_length_b 4.719
_cell_length_c 4.357
_cell_angle_alpha 90.00
_cell_angle_beta 90.00
_cell_angle_gamma 90.00
loop_
_atom_site_label
_atom_site_type_symbol
_atom_site_fract_x
_atom_site_fract_y
_atom_site_fract_z
Zr1 Zr 0.000 0.500 0.000
Ti1 Ti 0.000 0.000 0.500
Bi1 Bi 0.500 0.500 0.500
B1 B 0.000 0.000 0.000
```

Calculated values
**Formation enthalpy at 0 K**: -0.32 eV per atom
**V**: 19.403 Å³ per atom
**M_tot**: 0.4 μB/f.u.

=====

First-principles (PBE) data for a relaxed TlBi2B2 crystal, as listed in Alexandria via LeMat-Bulk.

Geometry as CIF:
```
data_TlBi2B2
_chemical_formula_sum 'Tl2 Bi4 B4'
_symmetry_space_group_name_H-M 'P 4/m b m'
_symmetry_Int_Tables_number 127
_symmetry_space_group_name_Hall '-P 4 2ab'
_cell_length_a 7.720
_cell_length_b 7.720
_cell_length_c 3.728
_cell_angle_alpha 90.00
_cell_angle_beta 90.00
_cell_angle_gamma 90.00
loop_
_atom_site_label
_atom_site_type_symbol
_atom_site_fract_x
_atom_site_fract_y
_atom_site_fract_z
Tl1 Tl 0.000 0.000 0.000
Bi1 Bi 0.164 0.336 0.500
B1 B 0.075 0.575 0.000
```

Calculated values
**Formation enthalpy at 0 K**: 0.92 eV per atom
**V**: 22.221 Å³ per atom
**M_tot**: 0.0 μB/f.u.

=====

First-principles (PBE) data for a relaxed TlBi3B crystal, as listed in Alexandria via LeMat-Bulk.

Geometry as CIF:
```
data_TlBi3B
_chemical_formula_sum 'Tl1 Bi3 B1'
_symmetry_space_group_name_H-M 'P m -3 m'
_symmetry_Int_Tables_number 221
_symmetry_space_group_name_Hall '-P 4 2 3'
_cell_length_a 5.198
_cell_length_b 5.198
_cell_length_c 5.198
_cell_angle_alpha 90.00
_cell_angle_beta 90.00
_cell_angle_gamma 90.00
loop_
_atom_site_label
_atom_site_type_symbol
_atom_site_fract_x
_atom_site_fract_y
_atom_site_fract_z
Tl1 Tl 0.000 0.000 0.000
Bi1 Bi 0.000 0.500 0.500
B1 B 0.500 0.500 0.500
```

Calculated values
**Formation enthalpy at 0 K**: 0.64 eV per atom
**V**: 28.093 Å³ per atom
**M_tot**: 0.0 μB/f.u.

=====

First-principles (PBE) data for a relaxed TlBiB2 crystal, as listed in Alexandria via LeMat-Bulk.

Geometry as CIF:
```
data_TlBiB2
_chemical_formula_sum 'Tl4 Bi4 B8'
_symmetry_space_group_name_H-M 'F m -3 m'
_symmetry_Int_Tables_number 225
_symmetry_space_group_name_Hall '-F 4 2 3'
_cell_length_a 6.699
_cell_length_b 6.699
_cell_length_c 6.699
_cell_angle_alpha 90.00
_cell_angle_beta 90.00
_cell_angle_gamma 90.00
loop_
_atom_site_label
_atom_site_type_symbol
_atom_site_fract_x
_atom_site_fract_y
_atom_site_fract_z
Tl1 Tl 0.000 0.000 0.000
Bi1 Bi 0.000 0.000 0.500
B1 B 0.250 0.250 0.250
```

Calculated values
**Formation enthalpy at 0 K**: 1.64 eV per atom
**V**: 18.786 Å³ per atom
**M_tot**: 0.0 μB/f.u.

=====

First-principles (PBE) data for a relaxed Tl3BiB crystal, as listed in Alexandria via LeMat-Bulk.

Geometry as CIF:
```
data_Tl3BiB
_chemical_formula_sum 'Tl3 Bi1 B1'
_symmetry_space_group_name_H-M 'P m -3 m'
_symmetry_Int_Tables_number 221
_symmetry_space_group_name_Hall '-P 4 2 3'
_cell_length_a 5.072
_cell_length_b 5.072
_cell_length_c 5.072
_cell_angle_alpha 90.00
_cell_angle_beta 90.00
_cell_angle_gamma 90.00
loop_
_atom_site_label
_atom_site_type_symbol
_atom_site_fract_x
_atom_site_fract_y
_atom_site_fract_z
Tl1 Tl 0.000 0.000 0.500
Bi1 Bi 0.500 0.500 0.500
B1 B 0.000 0.000 0.000
```

Calculated values
**Formation enthalpy at 0 K**: 0.58 eV per atom
**V**: 26.098 Å³ per atom
**M_tot**: 0.0 μB/f.u.

=====

First-principles (PBE) data for a relaxed TlBi2B2 crystal, as listed in Alexandria via LeMat-Bulk.

Geometry as CIF:
```
data_TlBi2B2
_chemical_formula_sum 'Tl2 Bi4 B4'
_symmetry_space_group_name_H-M 'I 4/m m m'
_symmetry_Int_Tables_number 139
_symmetry_space_group_name_Hall '-I 4 2'
_cell_length_a 4.946
_cell_length_b 4.946
_cell_length_c 8.692
_cell_angle_alpha 90.00
_cell_angle_beta 90.00
_cell_angle_gamma 90.00
loop_
_atom_site_label
_atom_site_type_symbol
_atom_site_fract_x
_atom_site_fract_y
_atom_site_fract_z
Tl1 Tl 0.000 0.000 0.000
Bi1 Bi 0.000 0.500 0.250
B1 B 0.000 0.000 0.403
```

Calculated values
**Formation enthalpy at 0 K**: 0.87 eV per atom
**V**: 21.263 Å³ per atom
**M_tot**: 0.0 μB/f.u.

=====

First-principles (PBE) data for a relaxed TlBi2B crystal, as listed in Alexandria via LeMat-Bulk.

Geometry as CIF:
```
data_TlBi2B
_chemical_formula_sum 'Tl4 Bi8 B4'
_symmetry_space_group_name_H-M 'I -4 2 d'
_symmetry_Int_Tables_number 122
_symmetry_space_group_name_Hall 'I -4 2bw'
_cell_length_a 6.460
_cell_length_b 6.460
_cell_length_c 11.647
_cell_angle_alpha 90.00
_cell_angle_beta 90.00
_cell_angle_gamma 90.00
loop_
_atom_site_label
_atom_site_type_symbol
_atom_site_fract_x
_atom_site_fract_y
_atom_site_fract_z
Tl1 Tl 0.000 0.000 0.000
Bi1 Bi 0.171 0.250 0.625
B1 B 0.000 0.000 0.500
```

Calculated values
**Formation enthalpy at 0 K**: 0.58 eV per atom
**V**: 30.377 Å³ per atom
**M_tot**: 0.0 μB/f.u.

=====

First-principles (PBE) data for a relaxed TlBi3B crystal, as listed in Alexandria via LeMat-Bulk.

Geometry as CIF:
```
data_TlBi3B
_chemical_formula_sum 'Tl1 Bi3 B1'
_symmetry_space_group_name_H-M 'P m -3 m'
_symmetry_Int_Tables_number 221
_symmetry_space_group_name_Hall '-P 4 2 3'
_cell_length_a 5.841
_cell_length_b 5.841
_cell_length_c 5.841
_cell_angle_alpha 90.00
_cell_angle_beta 90.00
_cell_angle_gamma 90.00
loop_
_atom_site_label
_atom_site_type_symbol
_atom_site_fract_x
_atom_site_fract_y
_atom_site_fract_z
Tl1 Tl 0.000 0.000 0.000
Bi1 Bi 0.000 0.000 0.500
B1 B 0.500 0.500 0.500
```

Calculated values
**Formation enthalpy at 0 K**: 1.71 eV per atom
**V**: 39.856 Å³ per atom
**M_tot**: 0.0 μB/f.u.

=====

First-principles (PBE) data for a relaxed TlBi2B crystal, as listed in Alexandria via LeMat-Bulk.

Geometry as CIF:
```
data_TlBi2B
_chemical_formula_sum 'Tl4 Bi8 B4'
_symmetry_space_group_name_H-M 'F m -3 m'
_symmetry_Int_Tables_number 225
_symmetry_space_group_name_Hall '-F 4 2 3'
_cell_length_a 7.454
_cell_length_b 7.454
_cell_length_c 7.454
_cell_angle_alpha 90.00
_cell_angle_beta 90.00
_cell_angle_gamma 90.00
loop_
_atom_site_label
_atom_site_type_symbol
_atom_site_fract_x
_atom_site_fract_y
_atom_site_fract_z
Tl1 Tl 0.000 0.000 0.000
Bi1 Bi 0.250 0.250 0.250
B1 B 0.000 0.000 0.500
```

Calculated values
**Formation enthalpy at 0 K**: 1.03 eV per atom
**V**: 25.880 Å³ per atom
**M_tot**: 0.0 μB/f.u.